Record 1
{"formula": "AgH2Ru", "functional": "PBE", "state": "optimized geometry", "cell": [[0.000, 2.680, 2.680], [2.680, 0.000, 2.680], [2.680, 2.680, 0.000]], "species": ["H", "H", "Ag", "Ru"], "frac_coords": [[0.750, 0.750, 0.750], [0.250, 0.250, 0.250], [0.500, 0.500, 0.500], [0.000, 0.000, 0.000]], "e_tot_ev_per_atom": -3.8951, "magmom_total_mub_per_cell": 0.00, "crystal_system": "cubic", "e_above_lowest_polymorph_mev_per_atom": 622, "space_group": "Fm-3m (225)"}

=====

Record 2
{"formula": "Ac6BiSe4", "functional": "PBE", "state": "optimized geometry", "cell": [[4.488, 0.000, 0.000], [-2.244, 7.348, 0.000], [0.000, 0.000, 23.067]], "species": ["Ac", "Ac", "Ac", "Ac", "Ac", "Ac", "Ac", "Ac", "Ac", "Ac", "Ac", "Ac", "Bi", "Bi", "Se", "Se", "Se", "Se", "Se", "Se", "Se", "Se"], "frac_coords": [[0.948, 0.897, 0.662], [0.347, 0.694, 0.250], [0.500, 0.000, 0.000], [0.771, 0.542, 0.410], [0.052, 0.103, 0.338], [0.653, 0.306, 0.750], [0.229, 0.458, 0.590], [0.948, 0.897, 0.838], [0.052, 0.103, 0.162], [0.500, 0.000, 0.500], [0.229, 0.458, 0.910], [0.771, 0.542, 0.090], [0.331, 0.661, 0.750], [0.669, 0.339, 0.250], [0.588, 0.176, 0.878], [0.859, 0.718, 0.964], [0.412, 0.824, 0.122], [0.859, 0.718, 0.536], [0.141, 0.282, 0.464], [0.588, 0.176, 0.622], [0.141, 0.282, 0.036], [0.412, 0.824, 0.378]], "e_tot_ev_per_atom": -5.3552, "magmom_total_mub_per_cell": 0.16, "crystal_system": "orthorhombic", "formation_energy_uncorrected_ev_per_atom": -1.494, "space_group": "Cmcm (63)"}

=====

Record 3
{"formula": "BeCuOs", "functional": "PBE", "state": "optimized geometry", "cell": [[-1.393, -2.262, -0.380], [2.169, -1.155, -1.079], [2.380, -1.513, 9.743]], "species": ["Be", "Be", "Cu", "Cu", "Os", "Os"], "frac_coords": [[0.135, 0.135, 0.271], [0.865, 0.865, 0.729], [0.707, 0.707, 0.413], [0.293, 0.293, 0.587], [0.560, 0.560, 0.120], [0.440, 0.440, 0.880]], "delta_e_f_ev_per_atom": 0.20, "e_tot_ev_per_atom": -6.1518, "magmom_total_mub_per_cell": 0.00, "crystal_system": "tetragonal", "e_above_lowest_polymorph_mev_per_atom": 79, "space_group": "I4/mmm (139)"}

=====

Record 4
{"formula": "Ta2BiMo", "functional": "PBE", "state": "optimized geometry", "cell": [[-2.909, -2.849, -0.155], [1.017, -0.829, -3.858], [5.634, -8.735, 1.210]], "species": ["Mo", "Mo", "Ta", "Ta", "Ta", "Ta", "Bi", "Bi"], "frac_coords": [[0.250, 0.750, 0.500], [0.500, 0.500, 0.000], [0.126, 0.625, 0.250], [0.375, 0.376, 0.750], [0.875, 0.874, 0.750], [0.624, 0.125, 0.250], [0.750, 0.250, 0.500], [0.000, 0.000, 0.000]], "delta_e_f_ev_per_atom": 0.95, "e_tot_ev_per_atom": -8.6521, "magmom_total_mub_per_cell": 1.60, "crystal_system": "tetragonal", "space_group": "I-42d (122)"}

=====

Record 5
{"formula": "NpAlGe", "functional": "PBE", "state": "optimized geometry", "cell": [[2.607, 0.000, 0.000], [0.000, 4.804, 0.000], [0.000, -2.402, 4.160]], "species": ["Np", "Ge", "Al"], "frac_coords": [[0.667, 0.667, 0.333], [0.166, 0.000, 0.000], [0.167, 0.333, 0.667]], "delta_e_f_ev_per_atom": 0.01, "e_tot_ev_per_atom": -7.0912, "magmom_total_mub_per_cell": 0.02, "crystal_system": "hexagonal", "space_group": "P-6m2 (187)"}

=====

Record 6
{"formula": "SnWSN2", "functional": "PBE", "state": "optimized geometry", "cell": [[3.991, 0.000, 0.000], [0.000, 3.991, 0.000], [0.000, 0.000, 4.972]], "species": ["N", "N", "W", "Sn", "S"], "frac_coords": [[0.000, 0.500, 0.000], [0.500, 0.000, 0.000], [0.000, 0.000, 0.000], [0.500, 0.500, 0.500], [0.000, 0.000, 0.500]], "e_tot_ev_per_atom": -7.4005, "magmom_total_mub_per_cell": 0.00, "crystal_system": "tetragonal", "formation_energy_uncorrected_ev_per_atom": 0.146, "e_above_lowest_polymorph_mev_per_atom": 0, "space_group": "P4/mmm (123)"}

=====

Record 7
{"formula": "ZrAsCl4", "functional": "PBE", "state": "optimized geometry", "cell": [[0.101, -4.005, -3.928], [1.270, -5.280, 1.409], [-3.977, -3.957, -0.074]], "species": ["Cl", "Cl", "Cl", "Cl", "As", "Zr"], "frac_coords": [[0.376, 0.873, 0.376], [0.376, 0.376, 0.376], [0.873, 0.376, 0.376], [0.376, 0.376, 0.873], [0.000, 0.000, 0.000], [0.750, 0.750, 0.750]], "e_tot_ev_per_atom": -2.9809, "magmom_total_mub_per_cell": 0.76, "crystal_system": "cubic", "formation_energy_uncorrected_ev_per_atom": 0.450, "space_group": "F-43m (216)"}

=====

Record 8
{"formula": "Pu2CoSi4Pt3", "functional": "PBE", "state": "optimized geometry", "cell": [[-2.616, -0.277, -3.209], [1.262, -3.892, -0.693], [-7.076, -3.373, 6.062]], "species": ["Si", "Si", "Si", "Si", "Pt", "Pt", "Pt", "Pu", "Pu", "Co"], "frac_coords": [[0.500, 0.500, 0.000], [0.000, 0.500, 0.373], [0.000, 0.000, 0.000], [0.500, 0.000, 0.627], [0.500, 0.000, 0.872], [0.000, 0.000, 0.500], [0.000, 0.500, 0.128], [0.500, 0.000, 0.251], [0.000, 0.500, 0.749], [0.500, 0.500, 0.500]], "e_tot_ev_per_atom": -8.3772, "magmom_total_mub_per_cell": 11.37, "crystal_system": "tetragonal", "formation_energy_uncorrected_ev_per_atom": -0.819, "space_group": "P-4m2 (115)"}

=====

Record 9
{"formula": "AgIrI2", "functional": "PBE", "state": "optimized geometry", "cell": [[3.617, -2.482, 2.599], [-1.052, -4.489, 2.179], [2.013, -4.286, -1.892]], "species": ["I", "I", "Ag", "Ir"], "frac_coords": [[0.750, 0.750, 0.750], [0.250, 0.250, 0.250], [0.000, 0.000, 0.000], [0.500, 0.500, 0.500]], "e_tot_ev_per_atom": -2.7402, "magmom_total_mub_per_cell": 1.66, "crystal_system": "cubic", "formation_energy_uncorrected_ev_per_atom": 0.963, "e_above_lowest_polymorph_mev_per_atom": 476, "space_group": "Fm-3m (225)"}

=====

Record 10
{"formula": "CePmEr6", "functional": "PBE", "state": "optimized geometry", "cell": [[-3.328, 3.265, -4.593], [4.120, -2.099, -4.501], [-7.043, -2.138, -0.867]], "species": ["Er", "Er", "Er", "Er", "Er", "Er", "Ce", "Pm"], "frac_coords": [[0.500, 0.749, 0.001], [0.441, 0.240, 0.479], [0.087, 0.731, 0.463], [0.500, 0.251, 0.999], [0.559, 0.760, 0.521], [0.913, 0.269, 0.537], [0.000, 0.500, 0.000], [0.000, 0.000, 0.000]], "delta_e_f_ev_per_atom": 0.22, "e_tot_ev_per_atom": -4.5386, "magmom_total_mub_per_cell": 1.46, "crystal_system": "triclinic", "space_group": "P-1 (2)"}

=====

Record 11
{"formula": "VHg3As", "functional": "PBE", "state": "optimized geometry", "cell": [[5.358, 0.000, 0.000], [0.000, 5.358, 0.000], [0.000, 0.000, 5.358]], "species": ["Hg", "Hg", "Hg", "As", "V"], "frac_coords": [[0.500, 0.000, 0.000], [0.000, 0.500, 0.000], [0.000, 0.000, 0.500], [0.500, 0.500, 0.500], [0.000, 0.000, 0.000]], "delta_e_f_ev_per_atom": 0.84, "e_tot_ev_per_atom": -2.0919, "magmom_total_mub_per_cell": 1.79, "crystal_system": "cubic", "space_group": "Pm-3m (221)"}

=====

Record 12
{"formula": "RbTl3", "functional": "PBE", "state": "optimized geometry", "cell": [[3.547, 0.000, 0.000], [0.000, 5.257, 0.000], [0.000, 0.000, 7.950]], "species": ["Tl", "Tl", "Tl", "Rb"], "frac_coords": [[0.500, 0.000, 0.582], [0.000, 0.000, 0.974], [0.500, 0.500, 0.803], [0.000, 0.500, 0.308]], "delta_e_f_ev_per_atom": -0.03, "e_tot_ev_per_atom": -2.0470, "magmom_total_mub_per_cell": 0.00, "crystal_system": "orthorhombic", "space_group": "Pmm2 (25)"}

=====

Record 13
{"formula": "CsZnPb3", "functional": "PBE", "state": "optimized geometry", "cell": [[5.009, -0.001, 1.730], [-0.598, 4.976, 1.735], [0.325, 0.362, 7.173]], "species": ["Zn", "Pb", "Pb", "Pb", "Cs"], "frac_coords": [[0.032, 0.836, 0.641], [0.142, 0.445, 0.423], [0.641, 0.945, 0.422], [0.793, 0.596, 0.120], [0.400, 0.204, 0.905]], "delta_e_f_ev_per_atom": -0.06, "e_tot_ev_per_atom": -2.7121, "magmom_total_mub_per_cell": 0.00, "crystal_system": "tetragonal", "e_above_lowest_polymorph_mev_per_atom": 0, "space_group": "I4mm (107)"}

=====

Record 14
{"formula": "Sr3CrPb", "functional": "PBE", "state": "optimized geometry", "cell": [[6.369, 0.000, 0.000], [0.000, 6.369, 0.000], [0.000, 0.000, 6.369]], "species": ["Sr", "Sr", "Sr", "Pb", "Cr"], "frac_coords": [[0.500, 0.000, 0.000], [0.000, 0.500, 0.000], [0.000, 0.000, 0.500], [0.000, 0.000, 0.000], [0.500, 0.500, 0.500]], "delta_e_f_ev_per_atom": 0.40, "e_tot_ev_per_atom": -3.2759, "magmom_total_mub_per_cell": 5.76, "crystal_system": "cubic", "e_above_lowest_polymorph_mev_per_atom": 0, "space_group": "Pm-3m (221)"}

=====

Record 15
{"formula": "Tm3ThH", "functional": "PBE", "state": "optimized geometry", "cell": [[-0.769, -4.716, 1.228], [4.323, -1.235, -2.033], [2.251, 0.759, 4.324]], "species": ["Tm", "Tm", "Tm", "H", "Th"], "frac_coords": [[0.000, 0.000, 0.500], [0.500, 0.000, 0.000], [0.000, 0.500, 0.000], [0.000, 0.000, 0.000], [0.500, 0.500, 0.500]], "e_tot_ev_per_atom": -4.9739, "magmom_total_mub_per_cell": 0.00, "crystal_system": "cubic", "space_group": "Pm-3m (221)"}

=====

Record 16
{"formula": "KMg2Si", "functional": "PBE", "state": "optimized geometry", "cell": [[-1.689, 3.778, 1.852], [-3.507, -0.014, -3.169], [-2.635, -2.613, 2.928]], "species": ["Mg", "Mg", "K", "Si"], "frac_coords": [[0.000, 0.500, 0.500], [0.000, 0.000, 0.000], [0.500, 0.000, 0.500], [0.500, 0.500, 0.000]], "e_tot_ev_per_atom": -2.0328, "magmom_total_mub_per_cell": 0.00, "crystal_system": "tetragonal", "formation_energy_uncorrected_ev_per_atom": 0.395, "space_group": "P4/mmm (123)"}

=====

Record 17
{"formula": "ZrFe3Hg", "functional": "PBE", "state": "optimized geometry", "cell": [[4.630, 0.000, 0.000], [0.000, 4.630, 0.000], [0.000, 0.000, 4.630]], "species": ["Fe", "Fe", "Fe", "Zr", "Hg"], "frac_coords": [[0.000, 0.000, 0.500], [0.500, 0.000, 0.000], [0.000, 0.500, 0.000], [0.000, 0.000, 0.000], [0.500, 0.500, 0.500]], "delta_e_f_ev_per_atom": 1.44, "e_tot_ev_per_atom": -5.4027, "magmom_total_mub_per_cell": 5.59, "crystal_system": "cubic", "e_above_lowest_polymorph_mev_per_atom": 64, "space_group": "Pm-3m (221)"}

=====

Record 18
{"formula": "AlSbAu", "functional": "PBE", "state": "optimized geometry", "cell": [[3.634, 0.000, 0.000], [-1.817, 3.147, 0.000], [0.000, 0.000, 5.674]], "species": ["Au", "Sb", "Al"], "frac_coords": [[0.667, 0.333, 0.304], [0.333, 0.667, 0.663], [0.000, 0.000, 0.033]], "e_tot_ev_per_atom": -3.8117, "magmom_total_mub_per_cell": 0.00, "crystal_system": "trigonal", "formation_energy_uncorrected_ev_per_atom": -0.098, "e_above_lowest_polymorph_mev_per_atom": 0, "space_group": "P3m1 (156)"}

=====

Record 19
{"formula": "Rb2LaWCl6", "functional": "PBE", "state": "optimized geometry", "cell": [[-4.295, 5.715, 2.008], [-3.383, -4.305, 5.016], [-0.287, 2.109, 7.113]], "species": ["Cl", "Cl", "Cl", "Cl", "Cl", "Cl", "Rb", "Rb", "W", "La"], "frac_coords": [[0.234, 0.766, 0.000], [0.766, 0.234, 0.000], [0.234, 0.234, 0.000], [0.766, 0.766, 0.000], [0.234, 0.234, 0.532], [0.766, 0.766, 0.468], [0.750, 0.250, 0.500], [0.250, 0.750, 0.500], [0.000, 0.000, 0.000], [0.500, 0.500, 0.000]], "e_tot_ev_per_atom": -4.4273, "magmom_total_mub_per_cell": 1.00, "crystal_system": "cubic", "formation_energy_uncorrected_ev_per_atom": -1.338, "space_group": "Fm-3m (225)"}

=====

Record 20
{"formula": "Nd2ZnCu", "functional": "PBE", "state": "optimized geometry", "cell": [[3.644, 0.000, 0.000], [0.000, 5.164, 0.000], [0.000, 0.000, 10.263]], "species": ["Nd", "Nd", "Nd", "Nd", "Zn", "Zn", "Cu", "Cu"], "frac_coords": [[0.000, 0.250, 0.121], [0.000, 0.750, 0.879], [0.000, 0.250, 0.632], [0.000, 0.750, 0.368], [0.500, 0.750, 0.619], [0.500, 0.250, 0.381], [0.500, 0.750, 0.126], [0.500, 0.250, 0.874]], "delta_e_f_ev_per_atom": -0.22, "e_tot_ev_per_atom": -3.9505, "magmom_total_mub_per_cell": 0.00, "crystal_system": "orthorhombic", "space_group": "Pmma (51)"}